1.
Entry from Alexandria: crystalline YTm6 at its relaxed geometry (GGA-PBE).

```
7
Lattice="-4.0331 4.0331 4.0331 4.0331 -4.0331 4.0331 4.0331 4.0331 -4.0331" Properties=species:S:1:pos:R:3 pbc="T T T"
Y 0.0000 0.0000 0.0000
Tm 4.0331 2.0165 0.0000
Tm 4.0331 0.0000 2.0165
Tm 2.0165 4.0331 0.0000
Tm 2.0165 0.0000 4.0331
Tm 0.0000 4.0331 2.0165
Tm 0.0000 2.0165 4.0331
```

Output
M_tot, μB per cell: 0.00
Symmetry: Im-3m (229)
DFT formation energy, meV/atom: 1562
Energy above the lowest structure with this stoichiometry, eV/f.u.: 9.102

2.
Entry from Alexandria: crystalline YTm at its relaxed geometry (GGA-PBE).

```
2
Lattice="3.9874 0.0000 0.0000 0.0000 3.9874 0.0000 0.0000 0.0000 3.9874" Properties=species:S:1:pos:R:3 pbc="T T T"
Y 0.0000 0.0000 0.0000
Tm 1.9937 1.9937 1.9937
```

Output
M_tot, μB per cell: 0.00
Symmetry: Pm-3m (221)
DFT formation energy, meV/atom: 128
Energy above the lowest structure with this stoichiometry, eV/f.u.: 0.246

3.
Entry from Alexandria: crystalline Y8Tm at its relaxed geometry (GGA-PBE).

```
9
Lattice="-5.3469 5.3469 2.5150 5.3469 -5.3469 2.5150 5.3469 5.3469 -2.5150" Properties=species:S:1:pos:R:3 pbc="T T T"
Y 3.5580 0.0000 0.0000
Y 7.1357 0.0000 0.0000
Y 0.0000 3.5580 0.0000
Y 3.5723 3.5723 0.0000
Y 1.7745 -1.7745 2.5150
Y -1.7745 1.7745 2.5150
Y 1.7745 1.7745 2.5150
Y 0.0000 7.1357 0.0000
Tm 0.0000 0.0000 0.0000
```

Output
M_tot, μB per cell: 0.00
Symmetry: I4/mmm (139)
DFT formation energy, meV/atom: 26

4.
Entry from Alexandria: crystalline Y7Tm6 at its relaxed geometry (GGA-PBE).

```
13
Lattice="3.2550 1.8793 11.6433 -3.2550 1.8793 11.6433 0.0000 -3.7585 11.6433" Properties=species:S:1:pos:R:3 pbc="T T T"
Y 0.0000 0.0000 0.0000
Y 0.0000 -1.8537 8.9217
Y -1.6053 0.9268 8.9217
Y -1.6053 -0.9268 26.0083
Y 1.6053 0.9268 8.9217
Y 1.6053 -0.9268 26.0083
Y 0.0000 1.8537 26.0083
Tm 0.0000 0.0000 5.8362
Tm 0.0000 0.0000 12.3280
Tm 0.0000 0.0000 15.8523
Tm 0.0000 0.0000 19.0778
Tm 0.0000 0.0000 22.6020
Tm 0.0000 0.0000 29.0939
```

Output
M_tot, μB per cell: 0.01
Symmetry: R-3m (166)
DFT formation energy, meV/atom: 280

5.
Entry from Alexandria: crystalline Y2Tm13 at its relaxed geometry (GGA-PBE).

```
15
Lattice="6.4965 0.0000 0.0000 1.3468 8.7349 0.0000 1.3306 3.4595 8.0237" Properties=species:S:1:pos:R:3 pbc="T T T"
Y 1.5400 4.6385 2.3191
Y 7.6339 7.5558 5.7045
Tm 0.6653 1.7298 4.0118
Tm 2.9640 9.8195 7.6357
Tm 2.4849 4.1455 5.6573
Tm 3.3658 9.0116 0.9974
Tm 3.5253 7.1866 3.5936
Tm 4.3221 6.6168 7.2210
Tm 5.1703 9.6221 5.3702
Tm 4.0036 2.5722 2.6534
Tm 4.8518 5.5776 0.8026
Tm 5.6486 5.0078 4.4301
Tm 5.8081 3.1828 7.0262
Tm 6.6890 8.0489 2.3663
Tm 6.2099 2.3749 0.3879
```

Output
M_tot, μB per cell: 0.00
Symmetry: P-1 (2)
DFT formation energy, meV/atom: 75
Energy above the lowest structure with this stoichiometry, eV/f.u.: 0.000

6.
Entry from Alexandria: crystalline YTm4 at its relaxed geometry (GGA-PBE).

```
5
Lattice="5.5452 0.0000 0.0000 0.0000 5.5452 0.0000 0.0000 0.0000 5.5452" Properties=species:S:1:pos:R:3 pbc="T T T"
Y 0.0000 0.0000 0.0000
Tm 0.0000 0.0000 2.7726
Tm 0.0000 2.7726 0.0000
Tm 2.7726 0.0000 0.0000
Tm 2.7726 2.7726 2.7726
```

Output
M_tot, μB per cell: 0.01
Symmetry: Pm-3m (221)
DFT formation energy, meV/atom: 794
Energy above the lowest structure with this stoichiometry, eV/f.u.: 3.817